A relaxed BaCa2SmTe4 crystal. Source: the Alexandria database, functional GGA-PBE.

- Symmetry: P2/m, No. 10
- ΔE_f (raw): -1564 meV per atom
- DOS at the Fermi energy: 0.348 states/eV/atom
- Crystal system: monoclinic

a = 4.586 Å, b = 7.961 Å, c = 8.043 Å
α = 70.84°, β = 90.00°, γ = 90.00°
Positions (direct):
Ba  0.500  0.500  0.000
Ca  0.000  0.000  0.000
Ca  0.500  0.000  0.500
Sm  0.000  0.500  0.500
Te  0.000  0.767  0.729
Te  0.000  0.233  0.271
Te  0.500  0.756  0.262
Te  0.500  0.244  0.738